No. 1
{"formula": "Tc3HgBi", "functional": "PBE-GGA", "state": "relaxed", "sg": "Pm-3m (221)", "dos_at_fermi_per_ev_cell": 8.074, "de_polymorph_mev_per_atom": 0.0, "cell": [[5.111, 0.000, 0.000], [0.000, 5.111, 0.000], [0.000, 0.000, 5.111]], "species": ["Tc", "Tc", "Tc", "Hg", "Bi"], "fractional_positions": [[0.000, 0.000, 0.500], [0.000, 0.500, 0.000], [0.500, 0.000, 0.000], [0.000, 0.000, 0.000], [0.500, 0.500, 0.500]]}


No. 2
{"formula": "LiTeRu2", "functional": "PBE-GGA", "state": "relaxed", "sg": "P2/m (10)", "e_form_raw_ev_per_atom": 0.300, "dos_at_fermi_per_ev_cell": 4.152, "cell": [[2.959, 0.000, 0.000], [0.000, 4.405, 0.000], [-0.016, 0.000, 4.928]], "species": ["Li", "Te", "Ru", "Ru"], "fractional_positions": [[0.000, 0.000, 0.000], [0.500, 0.000, 0.500], [0.290, 0.500, 0.225], [0.710, 0.500, 0.775]]}


No. 3
{"formula": "PrFeCuC", "functional": "PBE-GGA", "state": "relaxed", "sg": "P4/nmm (129)", "dos_at_fermi_per_ev_cell": 4.796, "energy_ev_per_atom": -6.738, "cell": [[3.462, 0.000, 0.000], [0.000, 3.462, 0.000], [0.000, 0.000, 10.146]], "species": ["Pr", "Pr", "Fe", "Fe", "Cu", "Cu", "C", "C"], "fractional_positions": [[0.250, 0.250, 0.242], [0.750, 0.750, 0.758], [0.250, 0.750, 0.000], [0.750, 0.250, 0.000], [0.250, 0.750, 0.500], [0.750, 0.250, 0.500], [0.250, 0.250, 0.910], [0.750, 0.750, 0.090]]}


No. 4
{"formula": "Hf4Sn2H", "functional": "PBE-GGA", "state": "relaxed", "sg": "I4/mmm (139)", "dos_at_fermi_per_ev_cell": 8.008, "de_polymorph_mev_per_atom": 15.6, "cell": [[4.160, 0.000, 0.000], [0.000, 4.160, 0.000], [0.000, 0.000, 15.672]], "species": ["Hf", "Hf", "Hf", "Hf", "Hf", "Hf", "Hf", "Hf", "Sn", "Sn", "Sn", "Sn", "H", "H"], "fractional_positions": [[0.000, 0.000, 0.175], [0.000, 0.000, 0.825], [0.000, 0.500, 0.000], [0.000, 0.500, 0.500], [0.500, 0.000, 0.000], [0.500, 0.000, 0.500], [0.500, 0.500, 0.325], [0.500, 0.500, 0.675], [0.000, 0.000, 0.361], [0.000, 0.000, 0.639], [0.500, 0.500, 0.139], [0.500, 0.500, 0.861], [0.000, 0.000, 0.000], [0.500, 0.500, 0.500]]}


No. 5
{"formula": "NaCuTeI5", "functional": "PBE-GGA", "state": "relaxed", "sg": "C2/c (15)", "e_form_raw_ev_per_atom": -0.351, "cell": [[5.055, -6.068, 0.000], [5.055, 6.068, 0.000], [-4.017, 0.000, 10.947]], "species": ["Na", "Na", "Cu", "Cu", "Te", "Te", "I", "I", "I", "I", "I", "I", "I", "I", "I", "I"], "fractional_positions": [[0.093, 0.907, 0.750], [0.907, 0.093, 0.250], [0.445, 0.555, 0.750], [0.555, 0.445, 0.250], [0.000, 0.500, 0.000], [0.500, 0.000, 0.500], [0.171, 0.829, 0.250], [0.219, 0.299, 0.141], [0.299, 0.219, 0.641], [0.310, 0.688, 0.927], [0.312, 0.690, 0.573], [0.688, 0.310, 0.427], [0.690, 0.312, 0.073], [0.701, 0.781, 0.359], [0.781, 0.701, 0.859], [0.829, 0.171, 0.750]]}


No. 6
{"formula": "Sr9Br14N2", "functional": "PBE-GGA", "state": "relaxed", "sg": "P-3 (147)", "e_form_raw_ev_per_atom": -1.785, "dos_at_fermi_per_ev_cell": 13.315, "cell": [[8.832, 0.000, 0.000], [-4.416, 7.649, 0.000], [0.000, 0.000, 12.335]], "species": ["Sr", "Sr", "Sr", "Sr", "Sr", "Sr", "Sr", "Sr", "Sr", "Br", "Br", "Br", "Br", "Br", "Br", "Br", "Br", "Br", "Br", "Br", "Br", "Br", "Br", "N", "N"], "fractional_positions": [[0.000, 0.000, 0.000], [0.087, 0.379, 0.339], [0.292, 0.913, 0.339], [0.333, 0.667, 0.059], [0.379, 0.292, 0.661], [0.621, 0.708, 0.339], [0.667, 0.333, 0.941], [0.708, 0.087, 0.661], [0.913, 0.621, 0.661], [0.000, 0.000, 0.258], [0.000, 0.000, 0.742], [0.039, 0.675, 0.904], [0.083, 0.395, 0.597], [0.312, 0.917, 0.597], [0.325, 0.364, 0.904], [0.364, 0.039, 0.096], [0.395, 0.312, 0.403], [0.605, 0.688, 0.597], [0.636, 0.961, 0.904], [0.675, 0.636, 0.096], [0.688, 0.083, 0.403], [0.917, 0.605, 0.403], [0.961, 0.325, 0.096], [0.333, 0.667, 0.267], [0.667, 0.333, 0.733]]}


No. 7
{"formula": "Ca3NbOs", "functional": "PBE-GGA", "state": "relaxed", "sg": "Pm-3m (221)", "dos_at_fermi_per_ev_cell": 7.628, "de_polymorph_mev_per_atom": 779.1, "cell": [[5.337, 0.000, 0.000], [0.000, 5.337, 0.000], [0.000, 0.000, 5.337]], "species": ["Ca", "Ca", "Ca", "Nb", "Os"], "fractional_positions": [[0.000, 0.000, 0.500], [0.000, 0.500, 0.000], [0.500, 0.000, 0.000], [0.000, 0.000, 0.000], [0.500, 0.500, 0.500]]}


No. 8
{"formula": "La12TlIn3", "functional": "PBE-GGA", "state": "relaxed", "sg": "P4/mmm (123)", "dos_at_fermi_per_ev_cell": 24.090, "energy_ev_per_atom": -4.645, "cell": [[5.067, 0.000, 0.000], [0.000, 5.067, 0.000], [0.000, 0.000, 20.237]], "species": ["La", "La", "La", "La", "La", "La", "La", "La", "La", "La", "La", "La", "Tl", "In", "In", "In"], "fractional_positions": [[0.000, 0.000, 0.000], [0.000, 0.000, 0.250], [0.000, 0.000, 0.500], [0.000, 0.000, 0.750], [0.000, 0.500, 0.125], [0.000, 0.500, 0.374], [0.000, 0.500, 0.626], [0.000, 0.500, 0.875], [0.500, 0.000, 0.125], [0.500, 0.000, 0.374], [0.500, 0.000, 0.626], [0.500, 0.000, 0.875], [0.500, 0.500, 0.500], [0.500, 0.500, 0.000], [0.500, 0.500, 0.250], [0.500, 0.500, 0.750]]}